(1)
A plane-wave DFT calculation with PBE-GGA was carried out for a geometry-optimized Nb2Co3Rh3 structure.

Cell: 3.782 3.804 7.541 Å, 90.00 90.00 90.00°
Sites, in units of the cell vectors:
Co 0.500 0.000 0.500
Nb 0.000 0.000 0.258
Rh 0.500 0.500 0.258
Rh 0.500 0.000 0.000
Co 0.000 0.500 0.500
Nb 0.000 0.000 0.742
Rh 0.500 0.500 0.742
Co 0.000 0.500 0.000

Calculated values
* energy of formation from the pure elements: -0.314 eV per atom
* crystal system: orthorhombic

(2)
A plane-wave DFT calculation with PBE-GGA was carried out for a geometry-optimized YAl2Cu structure.

Cell: 5.739 5.739 5.739 Å, 149.73 127.31 61.98°
Sites, in units of the cell vectors:
Cu 0.750 0.250 0.500
Al 0.534 0.534 0.000
Al 0.966 0.966 0.000
Y 0.250 0.750 0.500

Calculated values
* energy of formation from the pure elements: -0.131 eV per atom
* crystal system: orthorhombic

(3)
A plane-wave DFT calculation with PBE-GGA was carried out for a geometry-optimized FeBiSbPd2 structure.

Cell: 4.927 5.849 4.927 Å, 90.00 90.00 90.00°
Sites, in units of the cell vectors:
Fe 0.500 0.500 0.500
Bi 0.000 0.500 0.000
Pd 0.500 0.000 0.000
Sb 0.000 0.000 0.000
Pd 0.000 0.000 0.500

Calculated values
* ΔE_f (raw): 942 meV/atom
* crystal system: tetragonal

Taking the records one at a time from the top gives volume values of 13.6; 18.8; 28.4 A^3/atom.